No. 1
SrTi3Pd | PBE | optimized geometry

Cell and atoms, written as POSCAR:
```
SrTi3Pd
1.0
4.9510 0.0000 0.0000
0.0000 4.9510 0.0000
0.0000 0.0000 4.9510
Sr Ti Pd
1 3 1
Cartesian
0.0000 0.0000 0.0000
0.0000 2.4755 2.4755
2.4755 0.0000 2.4755
2.4755 2.4755 0.0000
2.4755 2.4755 2.4755
```

## Properties
Total energy (Ha/atom): -0.2074
Polymorph energy (0 for the lowest one) (kJ per mole of atoms): 0.0
Calculated formation energy (meV/atom): 469

=====

No. 2
Pm4NdSm3 | PBE | optimized geometry

Cell and atoms, written as POSCAR:
```
Pm4NdSm3
1.0
11.7877 0.0000 0.0000
0.0000 7.3663 0.0000
0.0000 0.0000 6.3751
Pm Nd Sm
8 2 6
Cartesian
0.0000 0.9215 0.0000
0.0000 6.4429 3.1831
2.9398 6.4448 5.3021
2.9541 0.9215 2.1145
5.8939 0.9234 6.3706
5.8939 6.4449 3.1875
8.8337 0.9215 2.1145
8.8479 6.4448 5.3021
0.0000 2.7621 3.1843
5.8939 4.6042 6.3718
0.0000 4.6015 6.3686
2.9478 2.7632 5.3002
2.9461 4.6031 2.1126
5.8939 2.7648 3.1811
8.8400 2.7632 5.3002
8.8416 4.6031 2.1126
```

## Properties
Total energy (Ha/atom): -0.1731
Polymorph energy (0 for the lowest one) (kJ per mole of atoms): 1.7
Calculated formation energy (meV/atom): 31

=====

No. 3
Cu2AuCl | PBE | optimized geometry

Cell and atoms, written as POSCAR:
```
Cu2AuCl
1.0
3.6271 0.0000 0.0000
0.0000 3.1026 0.0000
-0.0133 0.0000 6.2774
Cu Au Cl
2 1 1
Cartesian
-0.0009 0.0000 1.2468
3.6147 0.0000 5.0306
1.8136 1.5513 0.0000
-0.0067 1.5513 3.1387
```

## Properties
Total energy (Ha/atom): -0.1260
Polymorph energy (0 for the lowest one) (kJ per mole of atoms): 0.0
Formation energy (no corrections) (meV/atom): -100

=====

No. 4
V4BW | PBE | optimized geometry

Cell and atoms, written as POSCAR:
```
V4BW
1.0
4.2545 -1.4629 0.0000
4.2545 1.4629 0.0000
-2.3158 0.0000 6.4807
V B W
4 1 1
Cartesian
0.1337 0.0000 2.5615
2.3699 0.0000 1.2240
3.8233 0.0000 5.2567
6.0595 0.0000 3.9192
3.0966 0.0000 3.2403
0.0000 0.0000 0.0000
```

## Properties
Total energy (Ha/atom): -0.3377
Calculated formation energy (meV/atom): 163